Record 1
Compound: ZrNb3
Source: Alexandria via LeMat-Bulk
Functional: GGA-PBE
Structure: optimized geometry

Structure (POSCAR):
```
ZrNb3
1.0
3.429 -4.775 0.000
3.429 4.775 0.000
0.000 0.000 4.732
Zr Nb
2 6
Cartesian
3.429 3.659 3.549
3.429 -3.659 1.183
1.865 1.177 3.549
3.429 1.233 1.183
1.865 -1.177 1.183
4.994 1.177 3.549
3.429 -1.233 3.549
4.994 -1.177 1.183
```

The space group is Cmcm, No. 63. The value obtained for the polymorph energy (0 for the lowest one) is 0.000 eV per atom.

***

Record 2
Compound: YHfAu
Source: Alexandria via LeMat-Bulk
Functional: GGA-PBE
Structure: optimized geometry

Structure (POSCAR):
```
YHfAu
1.0
7.026 0.000 0.000
0.000 3.396 0.000
0.000 0.000 11.632
Y Hf Au
4 4 4
Cartesian
1.012 0.849 1.089
2.501 2.547 6.906
4.525 0.849 4.727
6.014 2.547 10.543
0.727 0.849 4.711
2.786 2.547 10.527
4.240 0.849 1.106
6.299 2.547 6.922
0.954 0.849 8.996
2.559 2.547 3.180
4.467 0.849 8.452
6.072 2.547 2.636
```

The space group is Pnma, No. 62. The value obtained for the polymorph energy (0 for the lowest one) is 0.104 eV per atom.

***

Record 3
Compound: CrPt2
Source: Alexandria via LeMat-Bulk
Functional: GGA-PBE
Structure: optimized geometry

Structure (POSCAR):
```
CrPt2
1.0
-1.354 1.354 5.841
1.354 -1.354 5.841
1.354 1.354 -5.841
Cr Pt
1 2
Cartesian
0.000 0.000 0.000
0.000 0.000 4.034
0.000 0.000 7.648
```

The space group is I4/mmm, No. 139.

***

Result set for DFT formation energy: 0.049 -0.373 -0.236 eV per atom, one per record in the order listed.
Result set for N(E_F): 13.41 14.39 3.01 states/eV/cell, one per record in the order listed.
Result set for M_tot: 0.0 0.0 0.0 μB/cell, one per record in the order listed.